1) 3
Lattice="0.000 3.050 3.050 3.050 0.000 3.050 3.050 3.050 0.000" Properties=species:S:1:pos:R:3 comment="Ag2P | Alexandria | PBE | optimized geometry" density_kg_m3=7222 sg="Fm-3m (225)" vol_a3_per_atom=18.9 total_magnetization_mub_per_fu=0.00 pbc="T T T"
Ag 1.525 1.525 1.525
Ag 4.574 4.574 4.574
P 0.000 0.000 0.000


2) 6
Lattice="-1.420 1.420 13.154 1.420 -1.420 13.154 1.420 1.420 -13.154" Properties=species:S:1:pos:R:3 comment="Ag2P | Alexandria | PBE | optimized geometry" density_kg_m3=7718 sg="I4_1/amd (141)" vol_a3_per_atom=17.7 total_magnetization_mub_per_fu=0.00 pbc="T T T"
Ag 1.420 0.710 1.237
Ag 1.420 0.710 5.339
Ag 0.000 0.710 7.814
Ag 0.000 0.710 11.916
P 1.420 -0.710 9.865
P 0.000 2.131 3.288


Energy comparison, zero being the most stable, in kJ/mol of atoms: 1) 0.0; 2) 15.3.